{
  "formula": "La3SnHg2",
  "functional": "PBE-GGA",
  "state": "optimized geometry",
  "energy_ev_per_fu": -22.86,
  "relative_energy_kj_per_mol_atoms": 1.49,
  "volume_a3_per_atom": 30.1,
  "dos_at_fermi_per_ev_fu": 6.00,
  "cell": [[3.8242, 0.0000, 0.0000], [0.0000, 3.8242, 0.0000], [0.0000, 0.0000, 12.3353]],
  "species": ["Hg", "La", "Hg", "Sn", "La", "La"],
  "fractional_positions": [[0.5000, 0.5000, 0.1590], [0.0000, 0.0000, 0.0000], [0.5000, 0.5000, 0.8410], [0.5000, 0.5000, 0.5000], [0.0000, 0.0000, 0.3308], [0.0000, 0.0000, 0.6692]]
}